[1]
## VCuRuPt (GGA-PBE)

Data for crystalline VCuRuPt at its relaxed geometry.

Lattice parameters (Å, degrees): 4.2627 4.2627 4.2627 60.00 60.00 60.00
Positions (direct):
V 0.0000 0.0000 0.0000
Cu 0.5000 0.5000 0.5000
Ru 0.2500 0.2500 0.2500
Pt 0.7500 0.7500 0.7500

Results
Calculated formation energy, kcal/mol of atoms: -4.96
Density, g/cm³: 12.45
Spin magnetization, μB per cell: 0.00
SG: F-43m

[2]
## RbGaF2 (GGA-PBE)

Data for crystalline RbGaF2 at its relaxed geometry.

Lattice parameters (Å, degrees): 7.2714 7.2714 7.2714 131.51 131.51 71.01
Positions (direct):
Rb 0.0000 0.0000 0.0000
Rb 0.7500 0.2500 0.5000
Ga 0.2500 0.7500 0.5000
Ga 0.5000 0.5000 0.0000
F 0.1708 0.6250 0.0458
F 0.3750 0.4208 0.5458
F 0.5792 0.1250 0.9542
F 0.8750 0.8292 0.4542

Results
Density, g/cm³: 3.04
Spin magnetization, μB per cell: 0.00
Raw formation energy, eV per formula unit: -8.10
SG: I-42d